Entry 1:
This record from Alexandria describes crystalline NaSb2Au6 at its relaxed geometry. The functional is PBE.

Geometry as extended XYZ:
```
9
Lattice="4.9654 0.3274 0.3133 3.1162 7.2158 2.8957 3.1162 3.2092 7.0820" Properties=species:S:1:pos:R:3 pbc="T T T"
Na 4.9654 0.3274 0.3133
Au 5.1940 4.3907 2.1920
Au 6.0039 6.3617 8.0990
Sb 8.5445 6.8430 6.5494
Au 5.5989 4.3579 6.2094
Au 5.1940 2.3824 4.2904
Sb 2.6533 3.9094 3.7416
Au 5.5989 6.3945 4.0816
Au 6.0039 8.3701 6.0006
```

Output
Space group: C2/m, No. 12
Energy above the most stable polymorph in this dataset: 0.128 eV per formula unit
Crystal system: monoclinic
D(E_F): 2.09 states/eV/cell

Entry 2:
This record from Alexandria describes crystalline MoAsAuS2 at its relaxed geometry. The functional is PBE.

Geometry as extended XYZ:
```
5
Lattice="-2.5065 2.2752 3.2862 -3.6632 -3.4159 -0.4291 2.0387 -2.6086 3.3611" Properties=species:S:1:pos:R:3 pbc="T T T"
As 0.0000 0.0000 0.0000
S -1.2532 1.1376 1.6431
Mo -1.8316 -1.7079 -0.2145
S 1.0194 -1.3043 1.6805
Au -2.0655 -1.8746 3.1091
```

Output
Electronic total energy: -4.295 eV/atom
Space group: P4/mmm, No. 123
Crystal system: tetragonal
D(E_F): 5.25 states/eV/cell

Entry 3:
This record from Alexandria describes crystalline AlZn2Cd at its relaxed geometry. The functional is PBE.

Geometry as extended XYZ:
```
4
Lattice="-4.1131 0.1897 0.9011 -0.5174 -2.7932 -1.7736 0.5168 -4.2555 3.2549" Properties=species:S:1:pos:R:3 pbc="T T T"
Zn 0.4049 -4.7279 2.8436
Zn -1.9395 -1.2147 1.2606
Al -0.0104 -3.1651 0.6188
Cd -2.0522 -5.5310 1.6549
```

Output
Formation energy: 104.4 meV per atom
Space group: Pm, No. 6
Energy above the most stable polymorph in this dataset: 0.180 eV per formula unit
Crystal system: monoclinic
D(E_F): 1.16 states/eV/cell

Entry 4:
This record from Alexandria describes crystalline K2LiTa at its relaxed geometry. The functional is PBE.

Geometry as extended XYZ:
```
4
Lattice="0.0000 4.2580 4.2580 4.2580 0.0000 4.2580 4.2580 4.2580 0.0000" Properties=species:S:1:pos:R:3 pbc="T T T"
K 2.1290 2.1290 2.1290
Ta 4.2580 4.2580 4.2580
K 6.3870 6.3870 6.3870
Li 0.0000 0.0000 0.0000
```

Output
Formation energy: 1475.3 meV per atom
Space group: Fm-3m, No. 225
Energy above the most stable polymorph in this dataset: 2.152 eV per formula unit
Crystal system: cubic
D(E_F): 5.95 states/eV/cell

Entry 5:
This record from Alexandria describes crystalline Li5Al2 at its relaxed geometry. The functional is PBE.

Geometry as extended XYZ:
```
14
Lattice="5.0940 0.0000 0.0000 -2.5470 6.1944 -0.2321 0.0000 0.0061 7.5044" Properties=species:S:1:pos:R:3 pbc="T T T"
Li 3.3235 2.6714 2.3839
Li 4.3109 0.0015 1.8761
Li -1.7317 4.5143 0.1425
Al 1.7847 0.8444 0.7777
Li 4.2787 1.6862 7.1299
Li 1.7705 2.6744 6.1361
Li 0.8153 1.6831 3.3777
Al 0.7623 5.3560 6.4947
Li -0.7765 3.5291 4.8885
Al 3.3093 0.8475 4.5299
Li 1.7317 4.5173 3.8947
Li 0.7765 3.5260 1.1363
Al -0.7623 5.3530 2.7425
Li 0.7830 0.0046 5.6283
```

Output
Formation energy: -106.1 meV per atom
Space group: C2/c, No. 15
Crystal system: monoclinic
D(E_F): 4.01 states/eV/cell

Entry 6:
This record from Alexandria describes crystalline NbV2TcN at its relaxed geometry. The functional is PBE.

Geometry as extended XYZ:
```
5
Lattice="3.9102 0.0000 0.0000 0.0000 4.3276 0.0000 0.0000 0.0000 3.9102" Properties=species:S:1:pos:R:3 pbc="T T T"
V 1.9551 0.0000 0.0000
Nb 0.0000 2.1638 0.0000
V 0.0000 0.0000 1.9551
Tc 1.9551 2.1638 1.9551
N 0.0000 0.0000 0.0000
```

Output
Electronic total energy: -9.847 eV/atom
Space group: P4/mmm, No. 123
Crystal system: tetragonal
D(E_F): 5.40 states/eV/cell

Entry 7:
This record from Alexandria describes crystalline Ta2BeNi at its relaxed geometry. The functional is PBE.

Geometry as extended XYZ:
```
4
Lattice="-0.1665 -1.7349 -2.1581 -0.5568 -2.0964 1.7291 -7.0774 1.4010 -0.5804" Properties=species:S:1:pos:R:3 pbc="T T T"
Ta -3.4716 0.6872 -0.2847
Ta -0.0671 0.0133 -0.0055
Ni -5.6697 -0.8649 -0.6497
Be -2.1310 -1.5654 -0.3596
```

Output
Formation energy: -84.5 meV per atom
Space group: P4/mmm, No. 123
Crystal system: tetragonal
D(E_F): 3.14 states/eV/cell

Entry 8:
This record from Alexandria describes crystalline BeZn at its relaxed geometry. The functional is PBE.

Geometry as extended XYZ:
```
4
Lattice="-7.7047 3.0831 -0.5385 -8.0396 1.5236 1.4835 -7.1125 3.9012 1.8307" Properties=species:S:1:pos:R:3 pbc="T T T"
Be -16.9400 6.3055 2.0572
Be -0.2027 0.0754 0.0246
Zn -11.2186 4.1759 1.3624
Zn -5.9240 2.2051 0.7194
```

Output
Formation energy: 233.8 meV per atom
Space group: R-3m, No. 166
Crystal system: trigonal
D(E_F): 1.38 states/eV/cell

Entry 9:
This record from Alexandria describes crystalline NaW2I at its relaxed geometry. The functional is PBE.

Geometry as extended XYZ:
```
4
Lattice="0.0000 3.3147 3.3147 3.3147 0.0000 3.3147 3.3147 3.3147 0.0000" Properties=species:S:1:pos:R:3 pbc="T T T"
I 3.3147 3.3147 3.3147
Na 0.0000 0.0000 0.0000
W 1.6573 1.6573 1.6573
W 4.9720 4.9720 4.9720
```

Output
Space group: Fm-3m, No. 225
Energy above the most stable polymorph in this dataset: 0.396 eV per formula unit
Crystal system: cubic
D(E_F): 5.88 states/eV/cell

Entry 10:
This record from Alexandria describes crystalline SmY2Cd at its relaxed geometry. The functional is PBE.

Geometry as extended XYZ:
```
4
Lattice="5.4857 0.0000 0.0000 2.7429 4.7508 0.0000 2.7429 1.5836 4.4791" Properties=species:S:1:pos:R:3 pbc="T T T"
Sm 5.4857 3.1672 2.2395
Y 8.2286 4.7508 3.3593
Cd 0.0000 0.0000 0.0000
Y 2.7429 1.5836 1.1198
```

Output
Formation energy: -4.9 meV per atom
Space group: Fm-3m, No. 225
Energy above the most stable polymorph in this dataset: 0.629 eV per formula unit
Crystal system: cubic
D(E_F): 5.89 states/eV/cell

Entry 11:
This record from Alexandria describes crystalline AcHo4Cd5 at its relaxed geometry. The functional is PBE.

Geometry as extended XYZ:
```
10
Lattice="3.7707 0.0000 0.0000 0.0000 3.7707 0.0000 0.0000 0.0000 19.2476" Properties=species:S:1:pos:R:3 pbc="T T T"
Ho 0.0000 0.0000 7.7912
Ho 0.0000 0.0000 11.4564
Cd 1.8853 1.8853 2.3357
Ho 0.0000 0.0000 15.1422
Cd 1.8853 1.8853 9.6238
Cd 1.8853 1.8853 5.9404
Ho 0.0000 0.0000 4.1054
Cd 1.8853 1.8853 16.9119
Ac 0.0000 0.0000 0.0000
Cd 1.8853 1.8853 13.3072
```

Output
Formation energy: -301.5 meV per atom
Space group: P4/mmm, No. 123
Crystal system: tetragonal
D(E_F): 10.62 states/eV/cell

Entry 12:
This record from Alexandria describes crystalline HgPCl at its relaxed geometry. The functional is PBE.

Geometry as extended XYZ:
```
3
Lattice="6.3126 0.0191 0.0066 3.9117 4.9546 -0.0066 -5.1146 -2.4820 2.7443" Properties=species:S:1:pos:R:3 pbc="T T T"
P 7.9383 3.8617 0.0000
Hg 2.6720 1.2998 0.0000
Cl 9.8384 4.7860 0.0000
```

Output
Space group: I4mm, No. 107
Energy above the most stable polymorph in this dataset: 0.667 eV per formula unit
Crystal system: tetragonal
D(E_F): 0.35 states/eV/cell

Entry 13:
This record from Alexandria describes crystalline AuClF2 at its relaxed geometry. The functional is PBE.

Geometry as extended XYZ:
```
4
Lattice="1.8732 -3.5350 1.6553 -0.1265 -0.7201 4.2674 -2.4431 -3.2046 1.5831" Properties=species:S:1:pos:R:3 pbc="T T T"
Au -0.3482 -3.7298 3.7529
F -0.1741 -1.8649 1.8765
F -0.5224 -5.5947 5.6294
Cl 0.0000 0.0000 0.0000
```

Output
Space group: Fm-3m, No. 225
Energy above the most stable polymorph in this dataset: 3.344 eV per formula unit
Crystal system: cubic
D(E_F): 1.75 states/eV/cell

Entry 14:
This record from Alexandria describes crystalline HoGe2Pd7 at its relaxed geometry. The functional is PBE.

Geometry as extended XYZ:
```
10
Lattice="4.0174 0.0000 -0.7730 -0.1487 4.0146 -0.7730 -0.0429 -0.0446 10.6025" Properties=species:S:1:pos:R:3 pbc="T T T"
Pd 2.4004 0.4065 1.6494
Pd 2.9544 0.9814 4.5282
Pd 1.9343 2.0073 -0.7730
Pd 0.3174 2.4138 1.6494
Ge 1.2317 1.2782 6.4012
Pd 0.8713 2.9887 4.5282
Pd 1.4252 3.5635 7.4070
Ge 2.5940 2.6919 2.6552
Ho 0.0000 0.0000 0.0000
Pd 3.5083 1.5562 7.4070
```

Output
Formation energy: -654.7 meV per atom
Space group: I4/mmm, No. 139
Energy above the most stable polymorph in this dataset: 0.000 eV per formula unit
Crystal system: tetragonal
D(E_F): 4.06 states/eV/cell

Entry 15:
This record from Alexandria describes crystalline GeIr at its relaxed geometry. The functional is PBE.

Geometry as extended XYZ:
```
12
Lattice="10.2795 0.0000 0.0000 -5.1398 8.9023 0.0000 0.0000 0.0000 2.9514" Properties=species:S:1:pos:R:3 pbc="T T T"
Ge -0.9714 3.5486 2.2135
Ge 2.5874 2.6156 0.7378
Ir 3.8156 4.8163 0.7378
Ir 0.9390 8.0061 2.2135
Ge 6.7207 0.9330 0.7378
Ir 7.4030 3.1898 0.7378
Ir -2.2632 5.7125 2.2135
Ir 1.3242 4.0861 2.2135
Ge -1.5809 7.9693 2.2135
Ir 4.2007 0.8962 0.7378
Ge 2.5523 6.2867 2.2135
Ge 6.1112 5.3538 0.7378
```

Output
Formation energy: 82.9 meV per atom
Space group: P6_3/m, No. 176
Crystal system: hexagonal
D(E_F): 4.92 states/eV/cell

Entry 16:
This record from Alexandria describes crystalline Mn5Hg at its relaxed geometry. The functional is PBE.

Geometry as extended XYZ:
```
6
Lattice="2.3365 -4.0469 0.0000 2.3365 4.0469 0.0000 0.0000 0.0000 4.2121" Properties=species:S:1:pos:R:3 pbc="T T T"
Mn 2.9804 0.0000 2.1061
Mn 2.3365 -1.3490 0.0000
Mn 0.8463 1.4659 2.1061
Mn 2.3365 1.3490 0.0000
Mn 0.8463 -1.4659 2.1061
Hg 0.0000 0.0000 0.0000
```

Output
Formation energy: 404.3 meV per atom
Space group: P-62m, No. 189
Crystal system: hexagonal
D(E_F): 7.33 states/eV/cell

Entry 17:
This record from Alexandria describes crystalline Ac2AgHPd6 at its relaxed geometry. The functional is PBE.

Geometry as extended XYZ:
```
10
Lattice="-0.7070 0.8343 5.7794 5.6419 -4.3977 1.3249 4.2919 2.5009 3.1575" Properties=species:S:1:pos:R:3 pbc="T T T"
Ac 2.8855 1.1057 6.1796
Ac 6.3412 -2.1682 4.0822
Ag 0.0000 0.0000 0.0000
Pd 3.5773 -0.0851 3.4428
Pd 5.6495 -0.9774 6.8189
H 2.4674 -1.7817 3.5521
Pd 3.8571 -2.6489 2.3500
Pd 5.3697 1.5863 7.9118
Pd 3.5031 -2.2307 5.2418
Pd 5.7237 1.1681 5.0200
```

Output
Electronic total energy: -5.136 eV/atom
Space group: C2/m, No. 12
Crystal system: monoclinic
D(E_F): 2.54 states/eV/cell

Entry 18:
This record from Alexandria describes crystalline Pr3Ni6P5 at its relaxed geometry. The functional is PBE.

Geometry as extended XYZ:
```
28
Lattice="3.8640 0.0000 0.0000 0.0000 9.6635 0.0000 0.0000 0.0000 11.7870" Properties=species:S:1:pos:R:3 pbc="T T T"
Ni 0.0000 4.7939 5.8935
Ni 1.9320 0.1269 0.0000
P 0.0000 8.6252 0.0000
Pr 0.0000 2.4210 0.0000
Pr 0.0000 2.4460 4.0288
P 0.0000 4.9057 10.2111
Ni 0.0000 9.5366 5.8935
Ni 1.9320 9.5896 3.8677
Ni 1.9320 3.7685 9.5993
Pr 1.9320 7.2425 5.8935
Ni 0.0000 0.0739 9.7611
Pr 1.9320 7.2175 1.8647
P 1.9320 1.3556 2.0233
Pr 0.0000 2.4460 7.7582
P 0.0000 8.3079 7.9168
P 1.9320 4.7578 4.3176
Ni 1.9320 3.7685 2.1877
Ni 0.0000 5.8950 8.0812
Ni 0.0000 5.8950 3.7058
Pr 1.9320 7.2175 9.9222
P 1.9320 1.3556 9.7637
Ni 0.0000 0.0739 2.0258
Ni 1.9320 4.8696 0.0000
P 1.9320 1.0383 5.8935
Ni 1.9320 9.5896 7.9193
P 0.0000 8.3079 3.8702
P 1.9320 4.7578 7.4694
P 0.0000 4.9057 1.5759
```

Output
Formation energy: -927.7 meV per atom
Space group: Pmmn, No. 59
Crystal system: orthorhombic
D(E_F): 19.62 states/eV/cell

Entry 19:
This record from Alexandria describes crystalline LuMg2Au at its relaxed geometry. The functional is PBE.

Geometry as extended XYZ:
```
4
Lattice="-3.2560 -0.5470 -0.7393 0.5046 -3.3364 0.2461 -1.7542 0.2887 7.5124" Properties=species:S:1:pos:R:3 pbc="T T T"
Au -1.3757 -1.9417 -0.2466
Mg -0.3532 0.0581 1.5127
Lu -2.2528 -1.7973 3.5096
Mg -1.4010 0.2306 5.9996
```

Output
Formation energy: -318.4 meV per atom
Space group: P4/mmm, No. 123
Crystal system: tetragonal
D(E_F): 2.89 states/eV/cell

Entry 20:
This record from Alexandria describes crystalline Mg2NiW at its relaxed geometry. The functional is PBE.

Geometry as extended XYZ:
```
4
Lattice="5.5138 0.0010 0.0227 4.8127 2.6907 0.0227 2.0188 0.5262 4.2388" Properties=species:S:1:pos:R:3 pbc="T T T"
Ni 9.2589 2.4135 3.2132
W 3.0863 0.8045 1.0711
Mg 5.9438 1.5493 2.2589
Mg 2.2476 0.5859 4.1221
```

Output
Formation energy: 335.6 meV per atom
Space group: C2/m, No. 12
Energy above the most stable polymorph in this dataset: 0.906 eV per formula unit
Crystal system: monoclinic
D(E_F): 4.34 states/eV/cell